1.
# Ba3BiPd

Crystalline Ba3BiPd at its relaxed geometry (GGA-PBE, Alexandria).

a b c (Å): 4.897 9.287 9.778
angles (deg): 95.96 90.00 90.00
Element x y z (fractional)
Pd  0.250  0.856  0.351
Bi  0.750  0.619  0.775
Bi  0.250  0.381  0.225
Ba  0.750  0.089  0.323
Ba  0.250  0.369  0.609
Ba  0.250  0.711  0.039
Ba  0.750  0.289  0.961
Pd  0.750  0.144  0.649
Ba  0.250  0.911  0.677
Ba  0.750  0.631  0.391

Magnetization (μB per atom): 0.000
N(E_F) (states/eV/atom): 0.723
Polymorph energy (0 for the lowest one) (eV/atom): 0.0000
Total energy (eV per atom): -3.60
V (A^3/atom): 44.23



2.
# BaBi2Pd2

Crystalline BaBi2Pd2 at its relaxed geometry (GGA-PBE, Alexandria).

a b c (Å): 8.738 8.738 3.389
angles (deg): 90.00 90.00 90.00
Element x y z (fractional)
Pd  0.651  0.849  0.500
Bi  0.862  0.638  0.000
Bi  0.138  0.362  0.000
Pd  0.849  0.349  0.500
Ba  0.500  0.500  0.000
Pd  0.349  0.151  0.500
Bi  0.362  0.862  0.000
Pd  0.151  0.651  0.500
Bi  0.638  0.138  0.000
Ba  0.000  0.000  0.000

Magnetization (μB per atom): 0.000
N(E_F) (states/eV/atom): 0.622
Total energy (eV per atom): -4.32
V (A^3/atom): 25.88